Entry 1:
This record from Alexandria via LeMat-Bulk describes crystalline TaMn2Se at its relaxed geometry. The functional is GGA-PBEsol.

Computed properties:
E_form (uncorrected) ... 0.16 eV/atom
Mass density ... 10.74 Mg/m³
Total energy ... -35.286 eV per cell
Fermi-level density of states ... 4.11 states/eV per cell

Cell lengths 2.990, 3.987, 4.797 Å; angles 90.00, 90.00, 90.00 degrees
Space group Pmmm (No. 47)
Symmetry-distinct sites (fractional):
Ta 0.000 0.000 0.000
Mn 0.500 0.500 0.213
Se 0.500 0.000 0.500

***

Entry 2:
This record from Alexandria via LeMat-Bulk describes crystalline MnTc2Se at its relaxed geometry. The functional is GGA-PBEsol.

Computed properties:
E_form (uncorrected) ... 0.35 eV/atom
Mass density ... 10.17 Mg/m³
Total energy ... -34.725 eV per cell
Fermi-level density of states ... 3.66 states/eV per cell

Cell lengths 2.936, 4.272, 4.292 Å; angles 90.00, 90.00, 90.00 degrees
Space group Pmmm (No. 47)
Symmetry-distinct sites (fractional):
Mn 0.000 0.000 0.000
Tc 0.000 0.500 0.500
Tc 0.500 0.500 0.000
Se 0.500 0.000 0.500

***

Entry 3:
This record from Alexandria via LeMat-Bulk describes crystalline MnTcSe at its relaxed geometry. The functional is GGA-PBEsol.

Computed properties:
E_form (uncorrected) ... 0.23 eV/atom
Mass density ... 8.78 Mg/m³
Total energy ... -24.196 eV per cell
Fermi-level density of states ... 3.01 states/eV per cell

Cell lengths 4.1221, 4.1221, 2.9798 Å; angles 90.00, 90.00, 120.00 degrees
Space group P-6m2 (No. 187)
Symmetry-distinct sites (fractional):
Mn 0.0000 0.0000 0.0000
Tc 0.3333 0.6667 0.5000
Se 0.6667 0.3333 0.5000

***

Entry 4:
This record from Alexandria via LeMat-Bulk describes crystalline MnTc2Se at its relaxed geometry. The functional is GGA-PBEsol.

Computed properties:
E_form (uncorrected) ... 0.10 eV/atom
Mass density ... 10.38 Mg/m³
Total energy ... -35.763 eV per cell
Fermi-level density of states ... 2.92 states/eV per cell

Cell lengths 2.872, 2.872, 6.398 Å; angles 90.00, 90.00, 90.00 degrees
Space group P4mm (No. 99)
Symmetry-distinct sites (fractional):
Mn 0.000 0.000 0.000
Tc 0.000 0.000 0.472
Tc 0.500 0.500 0.734
Se 0.500 0.500 0.208

***

Entry 5:
This record from Alexandria via LeMat-Bulk describes crystalline MnTc2Se at its relaxed geometry. The functional is GGA-PBEsol.

Computed properties:
E_form (uncorrected) ... 0.45 eV/atom
Mass density ... 9.44 Mg/m³
Total energy ... -68.724 eV per cell
Fermi-level density of states ... 9.28 states/eV per cell

Cell lengths 3.070, 4.498, 8.408 Å; angles 90.00, 90.00, 90.00 degrees
Space group Cmm2 (No. 35)
Symmetry-distinct sites (fractional):
Mn 0.000 0.000 0.000
Tc 0.000 0.000 0.519
Tc 0.000 0.500 0.759
Se 0.000 0.500 0.237

***

Entry 6:
This record from Alexandria via LeMat-Bulk describes crystalline MnTc2Se at its relaxed geometry. The functional is GGA-PBEsol.

Computed properties:
E_form (uncorrected) ... 0.24 eV/atom
Mass density ... 9.80 Mg/m³
Total energy ... -70.329 eV per cell
Fermi-level density of states ... 7.92 states/eV per cell

Cell lengths 8.812, 2.890, 4.409 Å; angles 90.00, 95.04, 90.00 degrees
Space group Cm (No. 8)
Symmetry-distinct sites (fractional):
Mn 0.000 0.000 0.000
Tc 0.023 0.500 0.526
Tc 0.261 0.000 0.744
Se 0.255 0.500 0.211

***

Entry 7:
This record from Alexandria via LeMat-Bulk describes crystalline MnTe2Se at its relaxed geometry. The functional is GGA-PBEsol.

Computed properties:
E_form (uncorrected) ... 0.29 eV/atom
Mass density ... 5.76 Mg/m³
Total energy ... -38.979 eV per cell
Fermi-level density of states ... 3.22 states/eV per cell

Cell lengths 3.898, 3.898, 14.766 Å; angles 90.00, 90.00, 90.00 degrees
Space group I-4m2 (No. 119)
Symmetry-distinct sites (fractional):
Mn 0.000 0.000 0.000
Te 0.000 0.000 0.500
Te 0.000 0.500 0.750
Se 0.000 0.500 0.250

***

Entry 8:
This record from Alexandria via LeMat-Bulk describes crystalline MnTe2Se at its relaxed geometry. The functional is GGA-PBEsol.

Computed properties:
E_form (uncorrected) ... 0.39 eV/atom
Mass density ... 5.58 Mg/m³
Total energy ... -38.215 eV per cell
Fermi-level density of states ... 2.76 states/eV per cell

Cell lengths 3.995, 3.995, 14.507 Å; angles 90.00, 90.00, 90.00 degrees
Space group I4/mmm (No. 139)
Symmetry-distinct sites (fractional):
Mn 0.000 0.000 0.000
Te 0.000 0.500 0.250
Se 0.000 0.000 0.500

***

Entry 9:
This record from Alexandria via LeMat-Bulk describes crystalline Mn2TeSe at its relaxed geometry. The functional is GGA-PBEsol.

Computed properties:
E_form (uncorrected) ... -0.11 eV/atom
Mass density ... 7.15 Mg/m³
Total energy ... -27.355 eV per cell
Fermi-level density of states ... 2.10 states/eV per cell

Cell lengths 3.315, 3.315, 6.686 Å; angles 90.00, 90.00, 90.00 degrees
Space group P4mm (No. 99)
Symmetry-distinct sites (fractional):
Mn 0.000 0.000 0.000
Mn 0.500 0.500 0.219
Te 0.500 0.500 0.812
Se 0.000 0.000 0.363

***

Entry 10:
This record from Alexandria via LeMat-Bulk describes crystalline MnTe4Se at its relaxed geometry. The functional is GGA-PBEsol.

Computed properties:
E_form (uncorrected) ... 0.73 eV/atom
Mass density ... 6.52 Mg/m³
Total energy ... -93.362 eV per cell
Fermi-level density of states ... 23.42 states/eV per cell

Cell lengths 8.689, 8.689, 8.689 Å; angles 90.00, 90.00, 90.00 degrees
Space group F-43m (No. 216)
Symmetry-distinct sites (fractional):
Mn 0.000 0.000 0.000
Te 0.125 0.125 0.625
Se 0.250 0.250 0.250

***

Entry 11:
This record from Alexandria via LeMat-Bulk describes crystalline Mn2TeSe at its relaxed geometry. The functional is GGA-PBEsol.

Computed properties:
E_form (uncorrected) ... 0.22 eV/atom
Mass density ... 7.93 Mg/m³
Total energy ... -26.027 eV per cell
Fermi-level density of states ... 1.71 states/eV per cell

Cell lengths 4.534, 4.534, 3.221 Å; angles 90.00, 90.00, 90.00 degrees
Space group P4/mmm (No. 123)
Symmetry-distinct sites (fractional):
Mn 0.000 0.500 0.000
Te 0.000 0.000 0.500
Se 0.500 0.500 0.500

***

Entry 12:
This record from Alexandria via LeMat-Bulk describes crystalline MnTe3Se at its relaxed geometry. The functional is GGA-PBEsol.

Computed properties:
E_form (uncorrected) ... 0.39 eV/atom
Mass density ... 6.89 Mg/m³
Total energy ... -22.237 eV per cell
Fermi-level density of states ... 4.54 states/eV per cell

Cell lengths 4.994, 4.994, 4.994 Å; angles 90.00, 90.00, 90.00 degrees
Space group Pm-3m (No. 221)
Symmetry-distinct sites (fractional):
Mn 0.000 0.000 0.000
Te 0.000 0.000 0.500
Se 0.500 0.500 0.500